# 1
A plane-wave DFT calculation with PBE was carried out for a relaxed structure of Dy3HoAu2.

total magnetic moment = 0.000 μB/atom
raw total energy = -4.61 eV/atom

Lattice parameters (Å, degrees): 8.5800 8.5800 8.5800 131.65 72.35 129.68
Last column: nearest neighbours and their distance in Å.
Atoms (fractional coordinates):
1 Dy 0.0172 0.7500 0.2672  4 Au 2.91-3.04
2 Dy 0.2500 0.2500 0.0000  4 Au 3.04
3 Dy 0.4828 0.7500 0.7328  4 Au 2.91-3.04
4 Dy 0.5172 0.2500 0.2672  4 Au 2.91-3.04
5 Dy 0.7500 0.7500 0.0000  4 Au 3.04
6 Dy 0.9828 0.2500 0.7328  4 Au 2.91-3.04
7 Ho 0.0000 0.5000 0.5000  2 Au 2.85
8 Ho 0.5000 0.0000 0.5000  2 Au 2.85
9 Au 0.1412 0.2057 0.3469  1 Ho 2.85, 6 Dy 2.91-3.04
10 Au 0.3588 0.7057 0.0645  1 Ho 2.85, 6 Dy 2.91-3.04
11 Au 0.6412 0.2943 0.9355  1 Ho 2.85, 6 Dy 2.91-3.04
12 Au 0.8588 0.7943 0.6531  1 Ho 2.85, 6 Dy 2.91-3.04


# 2
A plane-wave DFT calculation with PBE was carried out for a relaxed structure of ThZn11Pd.

total magnetic moment = 0.000 μB/atom
raw total energy = -2.29 eV/atom

Lattice parameters (Å, degrees): 6.9007 6.9007 6.8157 98.17 98.17 135.37
Last column: nearest neighbours and their distance in Å.
Atoms (fractional coordinates):
1 Th 0.0000 0.0000 0.0000  18 Zn 3.19-3.45, 2 Pd 3.41
2 Zn 0.0000 0.5000 0.0000  10 Zn 2.61-2.79
3 Zn 0.0115 0.6571 0.6434  7 Zn 2.60-2.84, 1 Pd 2.73
4 Zn 0.2809 0.5034 0.7793  8 Zn 2.60-2.84, 1 Pd 2.63
5 Zn 0.3429 0.9885 0.3566  7 Zn 2.60-2.84, 1 Pd 2.73
6 Zn 0.4966 0.7191 0.2207  8 Zn 2.60-2.84, 1 Pd 2.63
7 Zn 0.5000 0.0000 0.0000  10 Zn 2.61-2.79
8 Zn 0.5000 0.5000 0.5000  8 Zn 2.60-2.80, 2 Pd 2.62
9 Zn 0.5034 0.2809 0.7793  8 Zn 2.60-2.84, 1 Pd 2.63
10 Zn 0.6571 0.0115 0.6434  7 Zn 2.60-2.84, 1 Pd 2.73
11 Zn 0.7191 0.4966 0.2207  8 Zn 2.60-2.84, 1 Pd 2.63
12 Zn 0.9885 0.3429 0.3566  7 Zn 2.60-2.84, 1 Pd 2.73
13 Pd 0.0000 0.0000 0.5000  10 Zn 2.62-2.73


# 3
A plane-wave DFT calculation with PBE was carried out for a relaxed structure of Mo5Pt4.

total magnetic moment = 0.000 μB/atom
raw total energy = -8.80 eV/atom

Lattice parameters (Å, degrees): 7.7316 7.7316 5.5133 90.00 90.00 120.00
Last column: nearest neighbours and their distance in Å.
Atoms (fractional coordinates):
1 Mo 0.0000 0.3379 0.2500  5 Pt 2.54-2.76
2 Mo 0.0000 0.6621 0.7500  5 Pt 2.54-2.76
3 Mo 0.3333 0.6667 0.0000  8 Mo 2.76-2.91, 6 Pt 2.92
4 Mo 0.3333 0.6667 0.5000  8 Mo 2.76-2.91, 6 Pt 2.92
5 Mo 0.3379 0.0000 0.2500  5 Pt 2.54-2.76
6 Mo 0.3379 0.3379 0.7500  5 Pt 2.54-2.76
7 Mo 0.6621 0.0000 0.7500  5 Pt 2.54-2.76
8 Mo 0.6621 0.6621 0.2500  5 Pt 2.54-2.76
9 Mo 0.6667 0.3333 0.0000  8 Mo 2.76-2.91, 6 Pt 2.92
10 Mo 0.6667 0.3333 0.5000  8 Mo 2.76-2.91, 6 Pt 2.92
11 Pt 0.0000 0.0000 0.0000  8 Pt 2.76-2.93, 6 Mo 2.95
12 Pt 0.0000 0.0000 0.5000  8 Pt 2.76-2.93, 6 Mo 2.95
13 Pt 0.0000 0.3340 0.7500  5 Mo 2.54-2.76
14 Pt 0.0000 0.6660 0.2500  5 Mo 2.54-2.76
15 Pt 0.3340 0.0000 0.7500  5 Mo 2.54-2.76
16 Pt 0.3340 0.3340 0.2500  5 Mo 2.54-2.76
17 Pt 0.6660 0.0000 0.2500  5 Mo 2.54-2.76
18 Pt 0.6660 0.6660 0.7500  5 Mo 2.54-2.76


| no. | N(E_F) (states/eV/f.u.) |
| --- | --- |
| 1 | 8.05 |
| 2 | 5.22 |
| 3 | 10.16 |